[1]
The following is a DFT calculation (PBE) of crystalline Ce2Tc2C3 at its relaxed geometry.

Geometry as POSCAR:
```
Ce2Tc2C3
1.0
-0.704 -2.409 2.158
5.347 0.189 1.954
-3.578 4.848 1.707
Ce Tc C
2 2 3
Cartesian
-2.046 2.929 2.603
3.112 -0.301 3.216
0.482 1.213 1.511
0.584 1.415 4.308
0.000 0.000 0.000
1.962 1.978 2.847
-0.896 0.650 2.972
```

- E_tot: -8.900 eV/atom
- Formation energy from the elements: -0.290 eV/atom
- V: 14.67 A^3/atom
- SG: C2/m, No. 12

***

[2]
The following is a DFT calculation (PBE) of crystalline LaMg10Cd2 at its relaxed geometry.

Geometry as POSCAR:
```
LaMg10Cd2
1.0
-5.706 -0.227 1.840
-1.492 -6.241 4.385
-1.097 3.615 6.825
La Mg Cd
1 10 2
Cartesian
0.000 0.000 0.000
-3.681 -1.754 7.929
-4.613 -1.098 5.120
-6.932 -0.077 7.837
-1.363 -2.775 5.213
-0.548 1.808 3.412
-3.401 1.694 4.333
-2.185 -0.654 2.925
-6.110 -2.198 10.125
-4.268 -4.232 5.804
-4.027 1.380 7.246
-0.746 -3.120 2.192
-3.599 -3.234 3.112
```

- E_tot: -1.859 eV/atom
- Formation energy from the elements: -0.112 eV/atom
- V: 23.83 A^3/atom
- SG: Fmmm, No. 69

***

[3]
The following is a DFT calculation (PBE) of crystalline Sc2TeOs at its relaxed geometry.

Geometry as POSCAR:
```
Sc2TeOs
1.0
2.182 0.000 8.604
-1.091 1.890 8.604
-1.091 -1.890 8.604
Sc Te Os
2 1 1
Cartesian
0.000 0.000 22.936
0.000 0.000 2.876
0.000 0.000 0.000
0.000 0.000 12.906
```

- E_tot: -6.820 eV/atom
- V: 26.61 A^3/atom
- SG: R-3m, No. 166
- Formation energy from raw total energies: -0.062 eV per atom

***

[4]
The following is a DFT calculation (PBE) of crystalline Ce2YErTe5 at its relaxed geometry.

Geometry as POSCAR:
```
Ce2YErTe5
1.0
5.489 0.000 0.000
0.000 5.489 0.000
0.000 0.000 11.531
Ce Y Er Te
2 1 1 5
Cartesian
2.745 2.745 3.661
2.745 2.745 7.870
0.000 0.000 0.000
0.000 0.000 5.766
0.000 2.745 5.766
2.745 0.000 5.766
0.000 0.000 8.702
0.000 0.000 2.829
2.745 2.745 0.000
```

- E_tot: -5.131 eV/atom
- V: 38.60 A^3/atom
- SG: P4/mmm, No. 123
- Formation energy from raw total energies: -0.842 eV per atom

***

[5]
The following is a DFT calculation (PBE) of crystalline CeNdSm2Dy5 at its relaxed geometry.

Geometry as POSCAR:
```
CeNdSm2Dy5
1.0
8.686 0.000 0.000
0.000 8.686 0.000
-4.343 -4.343 7.748
Ce Nd Sm Dy
2 2 4 10
Cartesian
0.000 4.343 3.874
4.343 0.000 3.874
0.000 0.000 3.874
4.343 4.343 3.874
1.042 3.301 0.000
5.385 1.042 0.000
3.301 7.644 0.000
7.644 5.385 0.000
6.936 2.593 2.140
2.593 -1.750 5.607
-2.593 1.750 5.607
-1.750 -2.593 5.607
1.750 2.593 5.607
6.093 6.936 2.140
2.593 1.750 2.140
1.750 6.093 2.140
4.343 4.343 0.000
0.000 0.000 0.000
```

- E_tot: -4.525 eV/atom
- Formation energy from the elements: 0.269 eV/atom
- V: 32.47 A^3/atom
- SG: I4/mcm, No. 140

***

[6]
The following is a DFT calculation (PBE) of crystalline Cs2HfInBr6 at its relaxed geometry.

Geometry as POSCAR:
```
Cs2HfInBr6
1.0
-5.719 5.642 -0.336
-6.065 -0.104 5.277
4.042 10.479 10.977
Cs Hf In Br
4 2 2 12
Cartesian
-8.617 8.969 8.649
0.875 7.048 7.270
-4.514 13.413 13.453
-3.228 2.604 2.466
0.000 0.000 0.000
-3.871 8.009 7.959
-5.784 5.936 5.720
-1.958 10.081 10.199
-5.529 9.050 6.074
-5.701 6.207 8.851
-2.700 6.259 6.240
-2.213 6.967 9.845
-2.041 9.810 7.068
-5.042 9.759 9.679
-1.665 13.453 10.603
-1.849 10.393 13.591
1.380 10.449 10.782
-6.078 2.565 5.316
-5.893 5.624 2.327
-9.122 5.569 5.137
```

- Polymorph energy (0 for the lowest one): 0.0000 eV per atom
- E_tot: -3.783 eV/atom
- V: 42.00 A^3/atom
- SG: R-3m, No. 166
- Formation energy from raw total energies: -1.339 eV per atom

***

[7]
The following is a DFT calculation (PBE) of crystalline AcEuGdMg at its relaxed geometry.

Geometry as POSCAR:
```
AcEuGdMg
1.0
-4.978 -1.012 -2.902
-1.966 -5.476 -0.616
-4.775 -1.737 2.900
Eu Ac Gd Mg
1 1 1 1
Cartesian
-8.789 -6.168 -0.463
0.000 0.000 0.000
-2.930 -2.056 -0.154
-5.860 -4.112 -0.309
```

- E_tot: -7.405 eV/atom
- Formation energy from the elements: 0.110 eV/atom
- V: 35.40 A^3/atom
- SG: F-43m, No. 216

***

[8]
The following is a DFT calculation (PBE) of crystalline LiV2Ru2 at its relaxed geometry.

Geometry as POSCAR:
```
LiV2Ru2
1.0
7.199 0.000 0.000
0.000 7.199 0.000
0.000 0.000 2.832
Ru V Li
4 4 2
Cartesian
2.541 6.140 0.000
6.140 4.659 0.000
4.659 1.059 0.000
1.059 2.541 0.000
1.077 4.677 1.416
4.677 6.122 1.416
6.122 2.523 1.416
2.523 1.077 1.416
0.000 0.000 0.000
3.600 3.600 0.000
```

- Polymorph energy (0 for the lowest one): 0.0000 eV per atom
- E_tot: -7.766 eV/atom
- Formation energy from the elements: -0.026 eV/atom
- V: 14.68 A^3/atom
- SG: P4/mbm, No. 127

***

[9]
The following is a DFT calculation (PBE) of crystalline SrYSc2 at its relaxed geometry.

Geometry as POSCAR:
```
SrYSc2
1.0
-6.564 -1.546 -0.383
-1.927 -6.259 1.653
2.901 5.783 1.938
Sc Sr Y
2 1 1
Cartesian
-8.380 -7.702 1.253
-4.156 -0.018 1.125
-4.348 -3.996 0.650
-1.442 -2.011 2.084
```

- Polymorph energy (0 for the lowest one): 0.1036 eV per atom
- E_tot: -4.949 eV/atom
- Formation energy from the elements: 0.253 eV/atom
- V: 31.62 A^3/atom
- SG: Imm2, No. 44

***

[10]
The following is a DFT calculation (PBE) of crystalline LiPmScBe at its relaxed geometry.

Geometry as POSCAR:
```
LiPmScBe
1.0
-4.749 -0.853 -0.853
-2.466 -3.160 2.818
-3.387 1.642 3.138
Sc Be Li Pm
1 1 1 1
Cartesian
0.000 0.000 0.000
-7.952 -1.779 3.827
-2.651 -0.593 1.276
-5.301 -1.186 2.551
```

- E_tot: -4.032 eV/atom
- Formation energy from the elements: 0.148 eV/atom
- V: 20.80 A^3/atom
- SG: F-43m, No. 216

***

[11]
The following is a DFT calculation (PBE) of crystalline Hg2SbOs at its relaxed geometry.

Geometry as POSCAR:
```
Hg2SbOs
1.0
-2.799 -4.105 -1.532
2.590 -0.659 4.459
-2.642 1.165 1.706
Hg Os Sb
2 1 1
Cartesian
0.000 0.000 0.000
-0.104 -2.382 1.464
-2.720 -1.470 0.087
-0.026 0.253 3.083
```

- E_tot: -3.133 eV/atom
- V: 20.56 A^3/atom
- SG: Cmmm, No. 65
- Formation energy from raw total energies: 0.856 eV per atom

***

[12]
The following is a DFT calculation (PBE) of crystalline Sm2MgAlPt6 at its relaxed geometry.

Geometry as POSCAR:
```
Sm2MgAlPt6
1.0
8.497 -0.090 2.010
0.052 5.643 0.007
5.709 2.753 6.009
Sm Mg Al Pt
2 1 1 6
Cartesian
5.959 5.574 4.178
8.300 2.732 3.848
4.274 2.776 1.008
0.000 0.000 0.000
7.734 6.949 6.402
6.551 4.142 1.628
5.148 2.760 3.596
6.524 1.357 1.624
7.707 4.164 6.398
9.110 5.546 4.429
```

- E_tot: -5.971 eV/atom
- Formation energy from the elements: -0.869 eV/atom
- V: 22.35 A^3/atom
- SG: C2/m, No. 12

***

- V of number 6 (Cs2HfInBr6)?
  42.00 A^3/atom

***

What did the eleventh record say?
The following is a DFT calculation (PBE) of crystalline Hg2SbOs at its relaxed geometry.

Geometry as POSCAR:
```
Hg2SbOs
1.0
-2.799 -4.105 -1.532
2.590 -0.659 4.459
-2.642 1.165 1.706
Hg Os Sb
2 1 1
Cartesian
0.000 0.000 0.000
-0.104 -2.382 1.464
-2.720 -1.470 0.087
-0.026 0.253 3.083
```

- E_tot: -3.133 eV/atom
- V: 20.56 A^3/atom
- SG: Cmmm, No. 65
- Formation energy from raw total energies: 0.856 eV per atom

***

- The highest V belongs to which entry?
  Cs2HfInBr6